1.
Entry from Alexandria: crystalline La3Pt at its relaxed geometry (PBE).

Output
Its formation energy is -0.398 eV per atom. Its symmetry is P6_3/mmc (194). The calculation puts the uncorrected energy at -44.8 eV/cell.

Lattice parameters (Å, degrees): 7.5612 7.5612 4.7147 90.00 90.00 120.00
Closest atoms and distances in Å follow each position.
Element x y z (fractional)
La1 0.1827 0.8173 0.7500  2 Pt 3.07, 6 La 3.36-3.42
La2 0.8173 0.1827 0.2500  2 Pt 3.07, 6 La 3.36-3.42
La3 0.6347 0.8173 0.7500  2 Pt 3.07, 6 La 3.36-3.42
La4 0.3653 0.1827 0.2500  2 Pt 3.07, 6 La 3.36-3.42
La5 0.8173 0.6347 0.2500  2 Pt 3.07, 6 La 3.36-3.42
La6 0.1827 0.3653 0.7500  2 Pt 3.07, 6 La 3.36-3.42
Pt1 0.3333 0.6667 0.2500  6 La 3.07
Pt2 0.6667 0.3333 0.7500  6 La 3.07

***

2.
Entry from Alexandria: crystalline LaPt at its relaxed geometry (PBE).

Output
Its formation energy is -0.968 eV per atom. Its symmetry is P-6m2 (187). The calculation puts the uncorrected energy at -12.9 eV/cell.

Lattice parameters (Å, degrees): 4.1124 4.1124 3.7939 90.00 90.00 120.00
Closest atoms and distances in Å follow each position.
Element x y z (fractional)
La1 0.0000 0.0000 0.0000  6 Pt 3.04
Pt1 0.3333 0.6667 0.5000  6 La 3.04

***

3.
Entry from Alexandria: crystalline La3Pt at its relaxed geometry (PBE).

Output
Its formation energy is -0.325 eV per atom. Its symmetry is Pm-3n (223). The calculation puts the uncorrected energy at -44.2 eV/cell.

Lattice parameters (Å, degrees): 6.0894 6.0894 6.0894 90.00 90.00 90.00
Closest atoms and distances in Å follow each position.
Element x y z (fractional)
La1 0.5000 0.0000 0.2500  2 La 3.04, 4 Pt 3.40
La2 0.2500 0.5000 0.0000  2 La 3.04, 4 Pt 3.40
La3 0.7500 0.5000 0.0000  2 La 3.04, 4 Pt 3.40
La4 0.0000 0.2500 0.5000  2 La 3.04, 4 Pt 3.40
La5 0.0000 0.7500 0.5000  2 La 3.04, 4 Pt 3.40
La6 0.5000 0.0000 0.7500  2 La 3.04, 4 Pt 3.40
Pt1 0.5000 0.5000 0.5000  12 La 3.40
Pt2 0.0000 0.0000 0.0000  12 La 3.40